Entry 1:
# U4Ga6Tc7 | Alexandria via LeMat-Bulk | PBE | relaxed
# * N(E_F): 58.9 states/eV per cell
# * M_tot: 0.00 μB/f.u.
data_U4Ga6Tc7
_cell_length_a 8.341
_cell_length_b 8.341
_cell_length_c 8.341
_cell_angle_alpha 90.00
_cell_angle_beta 90.00
_cell_angle_gamma 90.00
_space_group_name_H-M_alt 'I m -3 m'
_space_group_IT_number 229
_space_group_name_Hall '-I 4 2 3'
loop_
_atom_site_label
_atom_site_fract_x
_atom_site_fract_y
_atom_site_fract_z
U1 0.250 0.250 0.250
Ga1 0.000 0.000 0.305
Tc1 0.000 0.000 0.000
Tc2 0.000 0.250 0.500

Entry 2:
# UGa7Tc2 | Alexandria via LeMat-Bulk | PBE | relaxed
# * N(E_F): 7.7 states/eV per cell
# * M_tot: 0.00 μB/f.u.
data_UGa7Tc2
_cell_length_a 9.320
_cell_length_b 12.543
_cell_length_c 3.282
_cell_angle_alpha 90.00
_cell_angle_beta 90.00
_cell_angle_gamma 90.00
_space_group_name_H-M_alt 'C m m m'
_space_group_IT_number 65
_space_group_name_Hall '-C 2 2'
loop_
_atom_site_label
_atom_site_fract_x
_atom_site_fract_y
_atom_site_fract_z
U1 0.000 0.000 0.000
Ga1 0.000 0.319 0.000
Ga2 0.000 0.500 0.500
Ga3 0.225 0.362 0.500
Tc1 0.000 0.151 0.500

Entry 3:
# UGaTc | Alexandria via LeMat-Bulk | PBE | relaxed
# * N(E_F): 4.8 states/eV per cell
# * relative energy among the computed polymorphs: 0.383 eV per atom
# * M_tot: 0.51 μB/f.u.
data_UGaTc
_cell_length_a 3.9276
_cell_length_b 3.9276
_cell_length_c 4.4363
_cell_angle_alpha 90.00
_cell_angle_beta 90.00
_cell_angle_gamma 120.00
_space_group_name_H-M_alt 'P 3 m 1'
_space_group_IT_number 156
_space_group_name_Hall 'P 3 -2"'
loop_
_atom_site_label
_atom_site_fract_x
_atom_site_fract_y
_atom_site_fract_z
U1 0.0000 0.0000 0.0000
Ga1 0.3333 0.6667 0.5646
Tc1 0.6667 0.3333 0.2934

Number 1: energy -8.22 eV/atom. Number 2: energy -5.33 eV/atom. Number 3: energy -8.04 eV/atom.